Material: Be2BiRu
Method: DFT, PBE-GGA
State: optimized geometry Values from VASP.

Cell and atoms, written as Quantum ESPRESSO input:
```
&SYSTEM
  ibrav = 0, nat = 8, ntyp = 3
/
ATOMIC_SPECIES
Bi 208.98 Bi.upf
Ru 101.07 Ru.upf
Be 9.01 Be.upf
ATOMIC_POSITIONS angstrom
Bi 0.000 0.000 0.000
Ru -5.809 0.845 -1.713
Bi -4.285 1.975 -3.890
Be -6.863 2.607 -2.726
Ru -1.777 -1.258 -1.897
Be -2.158 0.980 -2.192
Be -7.389 2.253 -4.729
Be -3.778 -0.198 -1.558
CELL_PARAMETERS angstrom
-0.253 -0.128 -4.074
-3.301 -2.388 0.280
-6.539 5.336 -1.808
```

final energy = -4.6173 eV per atom
total magnetic moment = 0.0 Bohr magnetons per cell
symmetry = I-42d (122)
energy relative to the elements = 535.0 meV/atom

Material: LiOsRh2
Method: DFT, PBE-GGA
State: optimized geometry Values from VASP.

Cell and atoms, written as Quantum ESPRESSO input:
```
&SYSTEM
  ibrav = 0, nat = 4, ntyp = 3
/
ATOMIC_SPECIES
Os 190.23 Os.upf
Rh 102.91 Rh.upf
Li 6.94 Li.upf
ATOMIC_POSITIONS angstrom
Os 5.550 1.107 2.400
Rh 1.794 0.125 2.042
Rh 7.422 1.940 0.707
Li 3.697 0.966 0.352
CELL_PARAMETERS angstrom
-0.585 1.437 2.194
0.421 -2.167 1.532
7.451 1.948 0.710
```

polymorph energy (0 for the lowest one) = 200 meV/atom
final energy = -6.7761 eV per atom
total magnetic moment = 0.0 Bohr magnetons per cell
symmetry = P4mm (99)
energy relative to the elements = 185.5 meV/atom

Material: TiSe2N
Method: DFT, PBE-GGA
State: optimized geometry Values from VASP.

Cell and atoms, written as Quantum ESPRESSO input:
```
&SYSTEM
  ibrav = 0, nat = 4, ntyp = 3
/
ATOMIC_SPECIES
Se 78.96 Se.upf
N 14.01 N.upf
Ti 47.87 Ti.upf
ATOMIC_POSITIONS angstrom
Se -1.295 1.669 1.753
N 0.000 0.000 0.000
Ti -2.590 3.337 3.505
Se -3.884 5.006 5.258
CELL_PARAMETERS angstrom
-2.278 0.203 3.854
0.467 3.551 2.695
-3.368 2.921 0.461
```

polymorph energy (0 for the lowest one) = 457 meV/atom
final energy = -5.0735 eV per atom
raw formation energy = 16.692 kcal/mol of atoms
total magnetic moment = 2.0 Bohr magnetons per cell
symmetry = Fm-3m (225)

Material: Li2InW
Method: DFT, PBE-GGA
State: optimized geometry Values from VASP.

Cell and atoms, written as Quantum ESPRESSO input:
```
&SYSTEM
  ibrav = 0, nat = 4, ntyp = 3
/
ATOMIC_SPECIES
Li 6.94 Li.upf
W 183.84 W.upf
In 114.82 In.upf
ATOMIC_POSITIONS angstrom
Li -3.970 -0.900 -2.111
Li 0.000 0.000 0.000
W -2.657 -1.299 0.571
In -2.695 1.268 -0.452
CELL_PARAMETERS angstrom
-4.008 1.667 -3.134
-3.932 -3.467 -1.088
2.587 1.768 4.341
```

final energy = -4.2934 eV per atom
total magnetic moment = 0.3 Bohr magnetons per cell
symmetry = I4/mmm (139)
energy relative to the elements = 586.4 meV/atom

Material: Tb3Pr2Sc
Method: DFT, PBE-GGA
State: optimized geometry Values from VASP.

Cell and atoms, written as Quantum ESPRESSO input:
```
&SYSTEM
  ibrav = 0, nat = 12, ntyp = 3
/
ATOMIC_SPECIES
Pr 140.91 Pr.upf
Tb 158.93 Tb.upf
Sc 44.96 Sc.upf
ATOMIC_POSITIONS angstrom
Pr 1.949 9.338 -2.808
Tb 2.863 3.499 1.277
Tb 0.944 3.121 4.225
Pr 0.055 8.900 0.251
Sc 0.312 1.040 1.395
Tb 0.499 6.037 2.232
Tb 3.489 5.585 4.078
Pr 1.413 0.198 6.318
Sc 3.050 8.496 2.114
Tb 2.418 6.415 -0.715
Tb -0.127 3.951 -0.568
Pr 3.307 0.636 3.259
CELL_PARAMETERS angstrom
4.911 0.000 -1.098
-0.719 10.772 -3.211
-0.830 -1.236 7.819
```

polymorph energy (0 for the lowest one) = 0 meV/atom
final energy = -4.9266 eV per atom
total magnetic moment = 0.0 Bohr magnetons per cell
symmetry = C2/m (12)
energy relative to the elements = 37.0 meV/atom

Material: CsNaIr3
Method: DFT, PBE-GGA
State: optimized geometry Values from VASP.

Cell and atoms, written as Quantum ESPRESSO input:
```
&SYSTEM
  ibrav = 0, nat = 5, ntyp = 3
/
ATOMIC_SPECIES
Ir 192.22 Ir.upf
Na 22.99 Na.upf
Cs 132.91 Cs.upf
ATOMIC_POSITIONS angstrom
Ir 0.000 2.538 0.000
Ir 0.000 0.000 2.538
Ir 2.538 0.000 0.000
Na 2.538 2.538 2.538
Cs 0.000 0.000 0.000
CELL_PARAMETERS angstrom
5.076 0.000 0.000
0.000 5.076 0.000
0.000 0.000 5.076
```

polymorph energy (0 for the lowest one) = 342 meV/atom
final energy = -3.0459 eV per atom
total magnetic moment = 1.6 Bohr magnetons per cell
symmetry = Pm-3m (221)
energy relative to the elements = 2705.3 meV/atom

Material: Y6CoHg2
Method: DFT, PBE-GGA
State: optimized geometry Values from VASP.

Cell and atoms, written as Quantum ESPRESSO input:
```
&SYSTEM
  ibrav = 0, nat = 18, ntyp = 3
/
ATOMIC_SPECIES
Y 88.91 Y.upf
Co 58.93 Co.upf
Hg 200.59 Hg.upf
ATOMIC_POSITIONS angstrom
Y 1.282 2.215 0.525
Y 1.952 5.851 4.690
Y 6.056 7.206 2.795
Y 5.187 5.059 9.905
Co 3.445 3.637 0.145
Co -0.211 0.000 5.070
Y 4.067 3.569 2.709
Y 5.329 5.078 5.811
Y 1.139 2.196 4.620
Hg 6.321 3.026 7.885
Y 4.516 1.422 5.740
Hg 3.087 0.611 2.670
Y 2.401 3.704 7.721
Y 0.412 0.068 7.635
Y 2.095 5.833 0.596
Hg 0.147 4.247 2.545
Y 4.373 1.441 9.835
Hg 3.381 6.663 7.760
CELL_PARAMETERS angstrom
6.890 0.000 0.289
0.000 7.273 0.000
-0.422 0.000 10.141
```

final energy = -5.4175 eV per atom
total magnetic moment = 0.0 Bohr magnetons per cell
symmetry = P2_1/c (14)
energy relative to the elements = -251.5 meV/atom

Material: P2AuBr
Method: DFT, PBE-GGA
State: optimized geometry Values from VASP.

Cell and atoms, written as Quantum ESPRESSO input:
```
&SYSTEM
  ibrav = 0, nat = 4, ntyp = 3
/
ATOMIC_SPECIES
Br 79.90 Br.upf
P 30.97 P.upf
Au 196.97 Au.upf
ATOMIC_POSITIONS angstrom
Br 0.160 -6.805 5.889
P -0.375 -3.463 3.812
Au 0.591 -2.826 1.509
P -0.056 -0.516 0.568
CELL_PARAMETERS angstrom
-1.456 -1.986 -1.947
3.068 0.313 0.586
-0.861 -7.957 8.759
```

polymorph energy (0 for the lowest one) = 435 meV/atom
final energy = -3.3967 eV per atom
raw formation energy = 12.587 kcal/mol of atoms
total magnetic moment = 0.0 Bohr magnetons per cell
symmetry = Cmmm (65)

Material: RbBi
Method: DFT, PBE-GGA
State: optimized geometry Values from VASP.

Cell and atoms, written as Quantum ESPRESSO input:
```
&SYSTEM
  ibrav = 0, nat = 2, ntyp = 2
/
ATOMIC_SPECIES
Rb 85.47 Rb.upf
Bi 208.98 Bi.upf
ATOMIC_POSITIONS angstrom
Rb 2.484 2.484 1.695
Bi 0.000 0.000 0.000
CELL_PARAMETERS angstrom
4.968 0.000 0.000
0.000 4.968 0.000
0.000 0.000 3.389
```

polymorph energy (0 for the lowest one) = 233 meV/atom
final energy = -2.5456 eV per atom
total magnetic moment = 0.0 Bohr magnetons per cell
symmetry = P4/mmm (123)
energy relative to the elements = -121.4 meV/atom

Material: Hf3Te
Method: DFT, PBE-GGA
State: optimized geometry Values from VASP.

Cell and atoms, written as Quantum ESPRESSO input:
```
&SYSTEM
  ibrav = 0, nat = 8, ntyp = 2
/
ATOMIC_SPECIES
Hf 178.49 Hf.upf
Te 127.60 Te.upf
ATOMIC_POSITIONS angstrom
Hf 2.851 1.205 2.697
Hf 0.950 3.390 4.099
Hf 0.950 2.422 0.643
Hf 2.851 2.173 6.153
Hf 0.950 5.924 0.329
Te 0.950 0.281 4.806
Hf 2.851 -1.328 6.467
Te 2.851 4.314 1.990
CELL_PARAMETERS angstrom
3.802 0.000 0.000
0.000 6.573 -0.627
0.000 -1.978 7.423
```

final energy = -8.5386 eV per atom
raw formation energy = -6.643 kcal/mol of atoms
total magnetic moment = 0.0 Bohr magnetons per cell
symmetry = P2_1/m (11)

Material: MgTaBiRh2
Method: DFT, PBE-GGA
State: optimized geometry Values from VASP.

Cell and atoms, written as Quantum ESPRESSO input:
```
&SYSTEM
  ibrav = 0, nat = 5, ntyp = 4
/
ATOMIC_SPECIES
Ta 180.95 Ta.upf
Rh 102.91 Rh.upf
Bi 208.98 Bi.upf
Mg 24.30 Mg.upf
ATOMIC_POSITIONS angstrom
Ta 0.000 0.000 0.000
Rh 0.000 0.000 2.375
Bi 2.375 2.616 2.375
Mg 0.000 2.616 0.000
Rh 2.375 0.000 0.000
CELL_PARAMETERS angstrom
4.749 0.000 0.000
0.000 5.232 0.000
0.000 0.000 4.749
```

final energy = -5.6712 eV per atom
total magnetic moment = 0.0 Bohr magnetons per cell
symmetry = P4/mmm (123)
energy relative to the elements = 735.1 meV/atom

Material: InCuB3
Method: DFT, PBE-GGA
State: optimized geometry Values from VASP.

Cell and atoms, written as Quantum ESPRESSO input:
```
&SYSTEM
  ibrav = 0, nat = 5, ntyp = 3
/
ATOMIC_SPECIES
In 114.82 In.upf
Cu 63.55 Cu.upf
B 10.81 B.upf
ATOMIC_POSITIONS angstrom
In 2.024 2.024 2.024
Cu 0.000 0.000 0.000
B 2.024 0.000 0.000
B 0.000 0.000 2.024
B 0.000 2.024 0.000
CELL_PARAMETERS angstrom
4.048 0.000 0.000
0.000 4.048 0.000
0.000 0.000 4.048
```

polymorph energy (0 for the lowest one) = 0 meV/atom
final energy = -3.8347 eV per atom
total magnetic moment = 0.0 Bohr magnetons per cell
symmetry = Pm-3m (221)
energy relative to the elements = 1538.7 meV/atom